[1]
An optimized crystal structure of Pm4DyMg3. Source: the Alexandria database, functional PBE-GGA.

Its crystal system is orthorhombic. The calculation puts the density of states at the Fermi level at 10.08 states/eV/cell. The formation enthalpy at 0 K is -37 meV/atom. As for the total DFT energy (no corrections): -0.1318 hartree per atom.

The space group is Pmmm (No. 47) and the conventional cell measures 3.842, 5.568 and 11.217 Å, with angles of 90.00, 90.00 and 90.00 degrees. The inequivalent atoms are Pm at (0.000, 0.000, 0.000), Pm at (0.000, 0.000, 0.500), Pm at (0.000, 0.500, 0.239), Dy at (0.500, 0.500, 0.500), Mg at (0.500, 0.000, 0.250) and Mg at (0.500, 0.500, 0.000).


[2]
An optimized crystal structure of Pm5Dy6Mg2. Source: the Alexandria database, functional PBE-GGA.

Its crystal system is orthorhombic. The calculation puts the density of states at the Fermi level at 42.73 states/eV/cell. The formation enthalpy at 0 K is 133 meV/atom. As for the total DFT energy (no corrections): -0.1493 hartree per atom.

The space group is Pbam (No. 55) and the conventional cell measures 10.487, 22.527 and 3.564 Å, with angles of 90.00, 90.00 and 90.00 degrees. The inequivalent atoms are Pm at (0.000, 0.000, 0.000), Pm at (0.081, 0.251, 0.000), Pm at (0.167, 0.506, 0.000), Dy at (0.019, 0.387, 0.500), Dy at (0.144, 0.118, 0.500), Dy at (0.168, 0.866, 0.000) and Mg at (0.169, 0.739, 0.500).


[3]
An optimized crystal structure of Pm6Dy2Mg. Source: the Alexandria database, functional PBE-GGA.

Its crystal system is monoclinic. The calculation puts the density of states at the Fermi level at 46.72 states/eV/cell. The formation enthalpy at 0 K is 65 meV/atom. As for the total DFT energy (no corrections): -0.1581 hartree per atom.

The space group is C2/c (No. 15) and the conventional cell measures 21.110, 9.474 and 6.109 Å, with angles of 90.00, 106.80 and 90.00 degrees. The inequivalent atoms are Pm at (0.079, 0.075, 0.232), Pm at (0.079, 0.425, 0.427), Pm at (0.169, 0.250, 0.919), Dy at (0.250, 0.080, 0.551) and Mg at (0.000, 0.250, 0.750).


[4]
An optimized crystal structure of Pm2DyMg. Source: the Alexandria database, functional PBE-GGA.

Its crystal system is cubic. The calculation puts the density of states at the Fermi level at 20.37 states/eV/cell. The formation enthalpy at 0 K is 28 meV/atom. As for the total DFT energy (no corrections): -0.1432 hartree per atom.

The space group is Fm-3m (No. 225) and the conventional cell measures 7.900, 7.900 and 7.900 Å, with angles of 90.00, 90.00 and 90.00 degrees. The inequivalent atoms are Pm at (0.250, 0.250, 0.250), Dy at (0.000, 0.000, 0.000) and Mg at (0.000, 0.000, 0.500).